Record 1
The following is a DFT calculation (PBE) of a relaxed structure of CsNaHg4.

Cell: 6.8060 6.8060 6.8060 Å, 132.86 102.28 96.14°
With the nearest neighbours (Å) after each atom.
Positions (direct):
Cs: 0.5607 0.5607 0.0000  12 Hg 3.66-3.95
Hg: 0.5210 0.8347 0.6863  4 Hg 3.14-3.18
Hg: 0.9795 0.1618 0.8176  4 Hg 3.11-3.18
Hg: 0.3442 0.1618 0.1824  4 Hg 3.11-3.18
Hg: 0.1484 0.8347 0.3137  4 Hg 3.14-3.18
Na: 0.9463 0.4463 0.5000  12 Hg 3.70-3.95

Total energy in eV/atom: -0.77
Symmetry: Imm2, No. 44

=====

Record 2
The following is a DFT calculation (PBE) of a relaxed structure of CsNaHg4.

Cell: 5.3258 5.3258 8.3358 Å, 90.00 90.00 120.00°
With the nearest neighbours (Å) after each atom.
Positions (direct):
Hg: 0.6667 0.3333 0.1881  4 Hg 3.07-3.14
Hg: 0.6667 0.3333 0.8119  4 Hg 3.07-3.14
Hg: 0.3333 0.6667 0.8119  4 Hg 3.07-3.14
Hg: 0.3333 0.6667 0.1881  4 Hg 3.07-3.14
Na: 0.0000 0.0000 0.0000  12 Hg 3.45
Cs: 0.0000 0.0000 0.5000  12 Hg 4.03, 2 Na 4.17

Total energy in eV/atom: -0.83
Symmetry: P6/mmm, No. 191

=====

Record 3
The following is a DFT calculation (PBE) of a relaxed structure of CsNa2Hg2.

Cell: 5.2366 5.2366 7.7193 Å, 109.78 109.78 90.01°
With the nearest neighbours (Å) after each atom.
Positions (direct):
Na: 0.7500 0.2500 0.5000  4 Hg 3.20
Na: 0.2500 0.7500 0.5000  4 Hg 3.20
Cs: 0.0000 0.0000 0.0000  8 Hg 4.01-4.02, 8 Na 4.28
Hg: 0.3856 0.3856 0.7712  1 Hg 3.10, 4 Na 3.20
Hg: 0.6144 0.6144 0.2288  1 Hg 3.10, 4 Na 3.20

Total energy in eV/atom: -1.01
Symmetry: I4/mmm, No. 139

=====

Record 4
The following is a DFT calculation (PBE) of a relaxed structure of Cs2NaHg2.

Cell: 9.2510 9.2510 5.6211 Å, 90.00 90.00 90.00°
With the nearest neighbours (Å) after each atom.
Positions (direct):
Cs: 0.6762 0.1762 0.5000  6 Hg 3.86-3.97
Cs: 0.8238 0.6762 0.5000  6 Hg 3.86-3.97
Cs: 0.1762 0.3238 0.5000  6 Hg 3.86-3.97
Cs: 0.3238 0.8238 0.5000  6 Hg 3.86-3.97
Hg: 0.1221 0.6221 0.0000  1 Hg 3.19
Hg: 0.6221 0.8779 0.0000  1 Hg 3.19
Hg: 0.3779 0.1221 0.0000  1 Hg 3.19
Hg: 0.8779 0.3779 0.0000  1 Hg 3.19
Na: 0.0000 0.0000 0.0000  4 Hg 3.67
Na: 0.5000 0.5000 0.0000  4 Hg 3.67

Total energy in eV/atom: -0.91
Symmetry: P4/mbm, No. 127

=====

Record 5
The following is a DFT calculation (PBE) of a relaxed structure of Cs2Na2HgSb2.

Cell: 11.6001 11.6001 11.6001 Å, 28.65 28.65 28.65°
With the nearest neighbours (Å) after each atom.
Positions (direct):
Sb: 0.9197 0.9197 0.9197  1 Hg 2.68
Sb: 0.0803 0.0803 0.0803  1 Hg 2.68
Cs: 0.2042 0.2042 0.2042  4 Sb 3.69-4.13
Cs: 0.7958 0.7958 0.7958  4 Sb 3.69-4.13
Na: 0.6121 0.6121 0.6121  3 Sb 3.42, 3 Hg 3.78
Na: 0.3879 0.3879 0.3879  3 Sb 3.42, 3 Hg 3.78
Hg: 0.0000 0.0000 0.0000  2 Sb 2.68

Total energy in eV/atom: -2.20
Symmetry: R-3m, No. 166

=====

Record 6
The following is a DFT calculation (PBE) of a relaxed structure of Cs2Na2HgSb2.

Cell: 10.0467 10.0467 10.0467 Å, 35.70 35.70 35.70°
With the nearest neighbours (Å) after each atom.
Positions (direct):
Na: 0.7923 0.7923 0.7923  1 Sb 3.14
Na: 0.2077 0.2077 0.2077  1 Sb 3.14
Hg: 0.0000 0.0000 0.0000  2 Sb 2.71
Cs: 0.3838 0.3838 0.3838  3 Sb 3.78, 3 Hg 3.83, 3 Na 4.14
Cs: 0.6162 0.6162 0.6162  3 Sb 3.78, 3 Hg 3.83, 3 Na 4.14
Sb: 0.9038 0.9038 0.9038  1 Hg 2.71
Sb: 0.0962 0.0962 0.0962  1 Hg 2.71

Total energy in eV/atom: -2.19
Symmetry: R-3m, No. 166